Here is an optimized crystal structure of TaRhAu from the Alexandria database. Energies are from GGA-PBEsol.

Cell and atoms, written as POSCAR:
```
TaRhAu
1.0
-1.4187 -0.6837 2.4283
1.7100 -2.3088 0.3490
3.5010 4.6536 1.6307
Au Rh Ta
1 1 1
direct
0.0006 0.0006 0.0011
0.6744 0.6744 0.3488
0.3250 0.3250 0.6500
```

Summary:
Formation enthalpy at 0 K in meV/atom: -244
Total magnetic moment in μB per cell: 0.0
Symmetry: I4mm (107)
Volume in Å³ per cell: 48